This record from OQMD via LeMat-Bulk describes crystalline In2CoSe2O6 at its relaxed geometry. The functional is PBE with a Hubbard U.

Cell lengths 6.955, 6.955, 6.955 Å; angles 47.09, 47.09, 47.09 degrees
Each line ends with the local moment (μB).
Fractional coordinates of all 11 atoms:
Co 0.000 0.000 0.000  2.68
In 0.185 0.185 0.185  0.00
In 0.815 0.815 0.815  0.00
O 0.730 0.242 0.242  0.04
O 0.242 0.730 0.242  0.05
O 0.758 0.758 0.270  0.04
O 0.242 0.242 0.730  0.04
O 0.758 0.270 0.758  0.05
O 0.270 0.758 0.758  0.04
Se 0.364 0.364 0.364  0.00
Se 0.636 0.636 0.636  0.00

Output
- Total magnetization: 0.27 μB/atom
- Calculated total energy: -0.3707 Ry per atom